[1]
The following is a GGA-PBE calculation of ErScH2 after structural relaxation, from Alexandria via LeMat-Bulk.

Output
The calculated total energy is -4.891 eV/atom. The value obtained for the magnetic moment is 0.0 Bohr magnetons per cell. The polymorph energy (0 for the lowest one) is 0 meV per atom.

abc: 3.5302 3.5302 16.5131
angles: 90.00 90.00 120.00
Space group R-3m (No. 166, hexagonal axes)
Asymmetric unit:
Er  0.0000  0.0000  0.0000
Sc  0.0000  0.0000  0.5000
H  0.0000  0.0000  0.3773

[2]
The following is a GGA-PBE calculation of ErScH after structural relaxation, from Alexandria via LeMat-Bulk.

Output
The calculated total energy is -4.853 eV/atom. The value obtained for the magnetic moment is 0.0 Bohr magnetons per cell. The polymorph energy (0 for the lowest one) is 215 meV per atom.

abc: 3.226 3.226 11.412
angles: 90.00 90.00 90.00
Space group I4mm (No. 107)
Asymmetric unit:
Er  0.000  0.000  0.000
Sc  0.000  0.000  0.293
H  0.000  0.000  0.473

[3]
The following is a GGA-PBE calculation of ErScH after structural relaxation, from Alexandria via LeMat-Bulk.

Output
The calculated total energy is -4.970 eV/atom. The value obtained for the magnetic moment is 0.4 Bohr magnetons per cell. The polymorph energy (0 for the lowest one) is 98 meV per atom.

abc: 7.961 7.961 3.490
angles: 90.00 90.00 90.00
Space group P4_2/m (No. 84)
Asymmetric unit:
Er  0.033  0.271  0.000
Sc  0.271  0.555  0.500
H  0.255  0.272  0.500

[4]
The following is a GGA-PBE calculation of ErSc2H7 after structural relaxation, from Alexandria via LeMat-Bulk.

Output
The calculated total energy is -4.709 eV/atom. The value obtained for the magnetic moment is 0.0 Bohr magnetons per cell.

abc: 3.427 3.427 14.648
angles: 90.00 90.00 90.00
Space group I4/mmm (No. 139)
Asymmetric unit:
Er  0.000  0.000  0.000
Sc  0.000  0.000  0.330
H  0.000  0.000  0.500
H  0.000  0.500  0.094
H  0.000  0.500  0.250

[5]
The following is a GGA-PBE calculation of Er2ScH after structural relaxation, from Alexandria via LeMat-Bulk.

Output
The calculated total energy is -4.600 eV/atom. The value obtained for the magnetic moment is 0.0 Bohr magnetons per cell. The polymorph energy (0 for the lowest one) is 66 meV per atom.

abc: 3.240 3.240 8.099
angles: 90.00 90.00 90.00
Space group P4/mmm (No. 123)
Asymmetric unit:
Er  0.000  0.000  0.198
Sc  0.500  0.500  0.500
H  0.500  0.500  0.000

[6]
The following is a GGA-PBE calculation of ErSc3H after structural relaxation, from Alexandria via LeMat-Bulk.

Output
The calculated total energy is -5.509 eV/atom. The value obtained for the magnetic moment is 0.0 Bohr magnetons per cell.

abc: 4.658 4.658 4.658
angles: 90.00 90.00 90.00
Space group Pm-3m (No. 221)
Asymmetric unit:
Er  0.000  0.000  0.000
Sc  0.000  0.500  0.500
H  0.500  0.500  0.500

[7]
The following is a GGA-PBE calculation of Er3ScH after structural relaxation, from Alexandria via LeMat-Bulk.

Output
The calculated total energy is -4.813 eV/atom. The value obtained for the magnetic moment is 0.0 Bohr magnetons per cell.

abc: 4.859 4.859 4.859
angles: 90.00 90.00 90.00
Space group Pm-3m (No. 221)
Asymmetric unit:
Er  0.000  0.000  0.500
Sc  0.500  0.500  0.500
H  0.000  0.000  0.000

[8]
The following is a GGA-PBE calculation of Er2HSe3 after structural relaxation, from Alexandria via LeMat-Bulk.

Output
The calculated total energy is -5.184 eV/atom. The value obtained for the magnetic moment is 0.0 Bohr magnetons per cell. The polymorph energy (0 for the lowest one) is 0 meV per atom.

abc: 10.745 3.848 11.707
angles: 90.00 90.00 90.00
Space group Pnma (No. 62)
Asymmetric unit:
Er  0.050  0.250  0.176
Er  0.197  0.250  0.516
H  0.135  0.750  0.124
Se  0.066  0.750  0.373
Se  0.119  0.250  0.936
Se  0.182  0.750  0.694